a) The following is a DFT calculation (GGA-PBE) of a relaxed structure of Cr2SeCl.

The structure belongs to space group R3m (No. 160, hexagonal axes); the cell edges are 3.2780, 3.2780 and 26.7482 Å and the angles 90.00°, 90.00° and 120.00°. The distinct sites, in fractional coordinates, are Cr at (0.0000, 0.0000, 0.0000), Cr at (0.0000, 0.0000, 0.2569), Se at (0.0000, 0.0000, 0.7235) and Cl at (0.0000, 0.0000, 0.5308).

The value obtained for the magnetic moment is 3.043 μB per cell.



b) The following is a DFT calculation (GGA-PBE) of a relaxed structure of Cr2SeCl.

The structure belongs to space group P4/mmm (No. 123); the cell edges are 3.3367, 3.3367 and 6.8500 Å and the angles 90.00°, 90.00° and 90.00°. The distinct sites, in fractional coordinates, are Cr at (0.0000, 0.0000, 0.2220), Se at (0.5000, 0.5000, 0.0000) and Cl at (0.5000, 0.5000, 0.5000).

The value obtained for the magnetic moment is 8.954 μB per cell.



c) The following is a DFT calculation (GGA-PBE) of a relaxed structure of Cr2SeCl.

The structure belongs to space group C2/m (No. 12); the cell edges are 8.6711, 3.0547 and 6.9902 Å and the angles 90.00°, 125.97° and 90.00°. The distinct sites, in fractional coordinates, are Cr at (0.2135, 0.0000, 0.3684), Se at (0.0000, 0.0000, 0.5000) and Cl at (0.0000, 0.5000, 0.0000).

The value obtained for the magnetic moment is 0.000 μB per cell.



d) The following is a DFT calculation (GGA-PBE) of a relaxed structure of Cr2SeCl.

The structure belongs to space group Pm (No. 6); the cell edges are 3.5756, 3.5603 and 6.2379 Å and the angles 90.00°, 90.13° and 90.00°. The distinct sites, in fractional coordinates, are Cr at (0.0000, 0.0000, 0.0000), Cr at (0.5001, 0.5000, 0.0008), Se at (0.4991, 0.0000, 0.7378) and Cl at (0.0009, 0.5000, 0.2401).

The value obtained for the magnetic moment is 1.743 μB per cell.



Which of them is least stable? Easy: b).



a) The following is a DFT calculation (GGA-PBE) of a relaxed structure of Cr3SeCl.

The structure belongs to space group Pm-3m (No. 221); the cell edges are 4.2129, 4.2129 and 4.2129 Å and the angles 90.00°, 90.00° and 90.00°. The distinct sites, in fractional coordinates, are Cr at (0.0000, 0.0000, 0.5000), Se at (0.5000, 0.5000, 0.5000) and Cl at (0.0000, 0.0000, 0.0000).

The value obtained for the magnetic moment is 3.351 μB per cell.



b) The following is a DFT calculation (GGA-PBE) of a relaxed structure of Cr3SeCl.

The structure belongs to space group Pm-3m (No. 221); the cell edges are 4.4691, 4.4691 and 4.4691 Å and the angles 90.00°, 90.00° and 90.00°. The distinct sites, in fractional coordinates, are Cr at (0.0000, 0.0000, 0.5000), Se at (0.0000, 0.0000, 0.0000) and Cl at (0.5000, 0.5000, 0.5000).

The value obtained for the magnetic moment is 0.000 μB per cell.



Which of them is least stable? Easy: b).



a) The following is a DFT calculation (GGA-PBE) of a relaxed structure of CrSe3Cl.

The structure belongs to space group Pm-3m (No. 221); the cell edges are 4.7298, 4.7298 and 4.7298 Å and the angles 90.00°, 90.00° and 90.00°. The distinct sites, in fractional coordinates, are Cr at (0.0000, 0.0000, 0.0000), Se at (0.0000, 0.0000, 0.5000) and Cl at (0.5000, 0.5000, 0.5000).

The value obtained for the magnetic moment is 0.002 μB per cell.



b) The following is a DFT calculation (GGA-PBE) of a relaxed structure of CrSe3Cl.

The structure belongs to space group Pm-3m (No. 221); the cell edges are 4.9738, 4.9738 and 4.9738 Å and the angles 90.00°, 90.00° and 90.00°. The distinct sites, in fractional coordinates, are Cr at (0.0000, 0.0000, 0.0000), Se at (0.0000, 0.5000, 0.5000) and Cl at (0.5000, 0.5000, 0.5000).

The value obtained for the magnetic moment is 3.699 μB per cell.



Which of them is least stable? Easy: b).



a) The following is a DFT calculation (GGA-PBE) of a relaxed structure of Cr2Se2Cl.

The structure belongs to space group I4/mmm (No. 139); the cell edges are 4.5248, 4.5248 and 11.8962 Å and the angles 90.00°, 90.00° and 90.00°. The distinct sites, in fractional coordinates, are Cr at (0.0000, 0.0000, 0.1601), Se at (0.0000, 0.5000, 0.2500) and Cl at (0.0000, 0.0000, 0.5000).

The value obtained for the magnetic moment is 14.000 μB per cell.



b) The following is a DFT calculation (GGA-PBE) of a relaxed structure of Cr2Se2Cl.

The structure belongs to space group Immm (No. 71); the cell edges are 3.6223, 5.1940 and 11.4573 Å and the angles 90.00°, 90.00° and 90.00°. The distinct sites, in fractional coordinates, are Cr at (0.0000, 0.0000, 0.1677), Se at (0.0000, 0.5000, 0.1826) and Cl at (0.0000, 0.5000, 0.5000).

The value obtained for the magnetic moment is 14.000 μB per cell.



Which of them is least stable? Easy: a).



a) The following is a DFT calculation (GGA-PBE) of a relaxed structure of CrSiCl2.

The structure belongs to space group R-3m (No. 166, hexagonal axes); the cell edges are 3.0187, 3.0187 and 26.8063 Å and the angles 90.00°, 90.00° and 120.00°. The distinct sites, in fractional coordinates, are Cr at (0.0000, 0.0000, 0.0000), Si at (0.0000, 0.0000, 0.5000) and Cl at (0.0000, 0.0000, 0.0806).

The value obtained for the magnetic moment is 0.000 μB per cell.



b) The following is a DFT calculation (GGA-PBE) of a relaxed structure of CrSiCl2.

The structure belongs to space group Imm2 (No. 44); the cell edges are 3.2085, 3.4657 and 17.2017 Å and the angles 90.00°, 90.00° and 90.00°. The distinct sites, in fractional coordinates, are Cr at (0.0000, 0.0000, 0.0000), Si at (0.0000, 0.5000, 0.0977), Cl at (0.0000, 0.0000, 0.6955) and Cl at (0.0000, 0.5000, 0.9052).

The value obtained for the magnetic moment is 7.325 μB per cell.



Which of them is least stable? Easy: a).



a) The following is a DFT calculation (GGA-PBE) of a relaxed structure of CrSiCl2.

The structure belongs to space group Pmmm (No. 47); the cell edges are 3.1890, 4.1856 and 5.6919 Å and the angles 90.00°, 90.00° and 90.00°. The distinct sites, in fractional coordinates, are Cr at (0.0000, 0.0000, 0.0000), Si at (0.5000, 0.0000, 0.5000), Cl at (0.0000, 0.5000, 0.5000) and Cl at (0.5000, 0.5000, 0.0000).

The value obtained for the magnetic moment is 3.822 μB per cell.



b) The following is a DFT calculation (GGA-PBE) of a relaxed structure of CrSiCl2.

The structure belongs to space group I-42d (No. 122); the cell edges are 6.0980, 6.0980 and 9.7291 Å and the angles 90.00°, 90.00° and 90.00°. The distinct sites, in fractional coordinates, are Cr at (0.0000, 0.0000, 0.0000), Si at (0.0000, 0.0000, 0.5000) and Cl at (0.1665, 0.2500, 0.1250).

The value obtained for the magnetic moment is 0.000 μB per cell.



Which of them is least stable? Easy: b).



a) The following is a DFT calculation (GGA-PBE) of a relaxed structure of CrSiCl2.

The structure belongs to space group Immm (No. 71); the cell edges are 3.2221, 3.8552 and 14.5061 Å and the angles 90.00°, 90.00° and 90.00°. The distinct sites, in fractional coordinates, are Cr at (0.0000, 0.0000, 0.0000), Si at (0.0000, 0.0000, 0.5000) and Cl at (0.0000, 0.5000, 0.3634).

The value obtained for the magnetic moment is 4.650 μB per cell.



b) The following is a DFT calculation (GGA-PBE) of a relaxed structure of CrSiCl2.

The structure belongs to space group Fmmm (No. 69); the cell edges are 6.0385, 7.3234 and 7.3429 Å and the angles 90.00°, 90.00° and 90.00°. The distinct sites, in fractional coordinates, are Cr at (0.0000, 0.0000, 0.0000), Si at (0.0000, 0.0000, 0.5000) and Cl at (0.0000, 0.2500, 0.2500).

The value obtained for the magnetic moment is 16.071 μB per cell.



Which of them is least stable? Easy: b).



a) The following is a DFT calculation (GGA-PBE) of a relaxed structure of CrSiCl2.

The structure belongs to space group Cmm2 (No. 35); the cell edges are 3.0053, 6.2442 and 9.1869 Å and the angles 90.00°, 90.00° and 90.00°. The distinct sites, in fractional coordinates, are Cr at (0.0000, 0.0000, 0.0000), Si at (0.0000, 0.5000, 0.2038), Cl at (0.0000, 0.0000, 0.4055) and Cl at (0.0000, 0.5000, 0.8123).

The value obtained for the magnetic moment is 4.826 μB per cell.



b) The following is a DFT calculation (GGA-PBE) of a relaxed structure of CrSiCl2.

The structure belongs to space group I-4m2 (No. 119); the cell edges are 3.7159, 3.7159 and 12.0794 Å and the angles 90.00°, 90.00° and 90.00°. The distinct sites, in fractional coordinates, are Cr at (0.0000, 0.0000, 0.0000), Si at (0.0000, 0.5000, 0.7500), Cl at (0.0000, 0.0000, 0.5000) and Cl at (0.0000, 0.5000, 0.2500).

The value obtained for the magnetic moment is 7.661 μB per cell.



Which of them is least stable? Easy: b).



a) The following is a DFT calculation (GGA-PBE) of a relaxed structure of CrSiCl2.

The structure belongs to space group Cm (No. 8); the cell edges are 9.0268, 3.0583 and 6.8929 Å and the angles 90.00°, 101.63° and 90.00°. The distinct sites, in fractional coordinates, are Cr at (0.0000, 0.0000, 0.0000), Si at (0.2740, 0.0000, 0.9679), Cl at (0.1049, 0.5000, 0.2486) and Cl at (0.4128, 0.0000, 0.7190).

The value obtained for the magnetic moment is 4.057 μB per cell.



b) The following is a DFT calculation (GGA-PBE) of a relaxed structure of CrSiCl2.

The structure belongs to space group P4/mmm (No. 123); the cell edges are 3.0524, 3.0524 and 10.1455 Å and the angles 90.00°, 90.00° and 90.00°. The distinct sites, in fractional coordinates, are Cr at (0.0000, 0.0000, 0.0000), Si at (0.0000, 0.0000, 0.5000) and Cl at (0.5000, 0.5000, 0.1514).

The value obtained for the magnetic moment is 4.057 μB per cell.



c) The following is a DFT calculation (GGA-PBE) of a relaxed structure of CrSiCl2.

The structure belongs to space group R3m (No. 160, hexagonal axes); the cell edges are 3.1219, 3.1219 and 25.9988 Å and the angles 90.00°, 90.00° and 120.00°. The distinct sites, in fractional coordinates, are Cr at (0.0000, 0.0000, 0.0000), Si at (0.0000, 0.0000, 0.2708), Cl at (0.0000, 0.0000, 0.5357) and Cl at (0.0000, 0.0000, 0.7233).

The value obtained for the magnetic moment is 0.000 μB per cell.



Which of them is least stable? Easy: b).



a) The following is a DFT calculation (GGA-PBE) of a relaxed structure of CrSi2Cl.

The structure belongs to space group R3m (No. 160, hexagonal axes); the cell edges are 2.9039, 2.9039 and 26.9546 Å and the angles 90.00°, 90.00° and 120.00°. The distinct sites, in fractional coordinates, are Cr at (0.0000, 0.0000, 0.0000), Si at (0.0000, 0.0000, 0.2639), Si at (0.0000, 0.0000, 0.5208) and Cl at (0.0000, 0.0000, 0.7234).

The value obtained for the magnetic moment is 0.008 μB per cell.



b) The following is a DFT calculation (GGA-PBE) of a relaxed structure of CrSi2Cl.

The structure belongs to space group F-43m (No. 216); the cell edges are 6.4444, 6.4444 and 6.4444 Å and the angles 90.00°, 90.00° and 90.00°. The distinct sites, in fractional coordinates, are Cr at (0.0000, 0.0000, 0.0000), Si at (0.0000, 0.0000, 0.5000), Si at (0.2500, 0.2500, 0.7500) and Cl at (0.2500, 0.2500, 0.2500).

The value obtained for the magnetic moment is 16.366 μB per cell.



Which of them is least stable? Easy: b).



a) The following is a DFT calculation (GGA-PBE) of a relaxed structure of CrSi2Cl.

The structure belongs to space group I-42d (No. 122); the cell edges are 5.7476, 5.7476 and 11.1013 Å and the angles 90.00°, 90.00° and 90.00°. The distinct sites, in fractional coordinates, are Cr at (0.0000, 0.0000, 0.0000), Si at (0.1940, 0.2500, 0.1250) and Cl at (0.0000, 0.0000, 0.5000).

The value obtained for the magnetic moment is 4.706 μB per cell.



b) The following is a DFT calculation (GGA-PBE) of a relaxed structure of CrSi2Cl.

The structure belongs to space group Cmm2 (No. 35); the cell edges are 4.2643, 4.2752 and 7.6228 Å and the angles 90.00°, 90.00° and 90.00°. The distinct sites, in fractional coordinates, are Cr at (0.0000, 0.0000, 0.0000), Si at (0.0000, 0.0000, 0.3680), Si at (0.0000, 0.5000, 0.1795) and Cl at (0.0000, 0.5000, 0.7877).

The value obtained for the magnetic moment is 4.764 μB per cell.



Which of them is least stable? Easy: a).



a) The following is a DFT calculation (GGA-PBE) of a relaxed structure of CrSi2Cl.

The structure belongs to space group Cmmm (No. 65); the cell edges are 6.7396, 6.7536 and 2.7964 Å and the angles 90.00°, 90.00° and 90.00°. The distinct sites, in fractional coordinates, are Cr at (0.0000, 0.0000, 0.0000), Si at (0.2500, 0.2500, 0.5000) and Cl at (0.0000, 0.5000, 0.0000).

The value obtained for the magnetic moment is 5.595 μB per cell.



b) The following is a DFT calculation (GGA-PBE) of a relaxed structure of CrSi2Cl.

The structure belongs to space group P4/mmm (No. 123); the cell edges are 3.5135, 3.5135 and 5.7987 Å and the angles 90.00°, 90.00° and 90.00°. The distinct sites, in fractional coordinates, are Cr at (0.0000, 0.0000, 0.0000), Si at (0.0000, 0.5000, 0.5000) and Cl at (0.5000, 0.5000, 0.0000).

The value obtained for the magnetic moment is 3.967 μB per cell.



Which of them is least stable? Easy: a).



a) The following is a DFT calculation (GGA-PBE) of a relaxed structure of CrSi2Cl.

The structure belongs to space group P2/m (No. 10); the cell edges are 2.9727, 4.3088 and 4.9970 Å and the angles 90.00°, 90.17° and 90.00°. The distinct sites, in fractional coordinates, are Cr at (0.0000, 0.0000, 0.0000), Si at (0.4992, 0.5000, 0.2378) and Cl at (0.0000, 0.0000, 0.5000).

The value obtained for the magnetic moment is 2.995 μB per cell.



b) The following is a DFT calculation (GGA-PBE) of a relaxed structure of CrSi2Cl.

The structure belongs to space group I4/mmm (No. 139); the cell edges are 3.5005, 3.5005 and 12.3725 Å and the angles 90.00°, 90.00° and 90.00°. The distinct sites, in fractional coordinates, are Cr at (0.0000, 0.0000, 0.0000), Si at (0.0000, 0.5000, 0.2500) and Cl at (0.0000, 0.0000, 0.5000).

The value obtained for the magnetic moment is 8.285 μB per cell.



c) The following is a DFT calculation (GGA-PBE) of a relaxed structure of CrSi2Cl.

The structure belongs to space group R-3m (No. 166, hexagonal axes); the cell edges are 3.0634, 3.0634 and 22.2030 Å and the angles 90.00°, 90.00° and 120.00°. The distinct sites, in fractional coordinates, are Cr at (0.0000, 0.0000, 0.0000), Si at (0.0000, 0.0000, 0.2616) and Cl at (0.0000, 0.0000, 0.5000).

The value obtained for the magnetic moment is 2.889 μB per cell.



Which of them is least stable? Easy: a).